DFT (PBE) results for a geometry-optimized CuPdPt3 structure.

Lattice parameters (Å, degrees): 4.367 4.367 9.538 90.00 90.00 120.00
Positions (direct):
Cu 0.000 0.000 0.000
Cu 0.000 0.000 0.500
Pd 0.333 0.667 0.250
Pd 0.667 0.333 0.750
Pt 0.000 0.000 0.250
Pt 0.000 0.000 0.750
Pt 0.333 0.667 0.592
Pt 0.333 0.667 0.908
Pt 0.667 0.333 0.092
Pt 0.667 0.333 0.408

Properties
Symmetry: P6_3/mmc (194)
Magnetic moment: 0.0 Bohr magnetons per cell
Relative energy among the computed polymorphs: 260 meV/atom
ΔE_f: 0.24 eV/atom
Volume: 157.5 Å³/cell

DFT (PBE) results for a geometry-optimized Pr2AlTlPd6 structure.

Lattice parameters (Å, degrees): 5.616 6.495 6.834 72.94 65.81 64.41
Positions (direct):
Pr 0.001 0.248 0.249
Pr 0.999 0.752 0.751
Al 0.500 0.500 0.000
Tl 0.500 0.000 0.500
Pd 0.021 0.680 0.288
Pd 0.318 0.927 0.937
Pd 0.489 0.320 0.712
Pd 0.511 0.680 0.288
Pd 0.682 0.073 0.063
Pd 0.979 0.320 0.712

Properties
Symmetry: P-1 (2)
Magnetic moment: 0.0 Bohr magnetons per cell
ΔE_f: -0.59 eV/atom
Volume: 203.0 Å³/cell

DFT (PBE) results for a geometry-optimized CdFe structure.

Lattice parameters (Å, degrees): 9.235 9.235 9.235 18.21 18.21 18.21
Positions (direct):
Cd 0.116 0.116 0.116
Cd 0.884 0.884 0.884
Fe 0.364 0.364 0.364
Fe 0.636 0.636 0.636

Properties
Symmetry: R-3m (166)
Magnetic moment: 5.2 Bohr magnetons per cell
ΔE_f: 0.28 eV/atom
Volume: 67.2 Å³/cell

DFT (PBE) results for a geometry-optimized La6SnIr2Br3 structure.

Lattice parameters (Å, degrees): 7.546 7.546 8.157 99.03 99.03 119.81
Positions (direct):
La 0.066 0.431 0.792
La 0.205 0.205 0.206
La 0.431 0.066 0.792
La 0.569 0.934 0.208
La 0.795 0.795 0.794
La 0.934 0.569 0.208
Sn 0.500 0.500 0.000
Ir 0.167 0.833 0.000
Ir 0.833 0.167 0.000
Br 0.000 0.000 0.500
Br 0.341 0.659 0.500
Br 0.659 0.341 0.500

Properties
Symmetry: C2/m (12)
Magnetic moment: 0.0 Bohr magnetons per cell
Formation energy from raw total energies: -1145 meV per atom
Volume: 382.8 Å³/cell